Record 1
DFT (PBE) results for crystalline K2ThMgS4 at its relaxed geometry.

Structure (extended XYZ):
```
8
Lattice="-3.7991 1.4297 -0.7569 -2.6624 -5.0090 3.9022 1.3944 6.1208 4.5621" Properties=species:S:1:pos:R:3 pbc="T T T"
K -1.2023 3.7752 1.9026
K -0.6340 0.5559 4.2321
Th -3.2308 -1.7897 1.5726
Mg 0.0000 0.0000 0.0000
S -2.2294 0.7751 1.3909
S -2.8378 1.7662 6.3164
S 0.4134 3.5560 4.6413
S -1.6815 -2.4442 3.8230
```

Computed properties:
Space group ... No. 10
Total energy ... -40.51 eV/cell


Record 2
DFT (PBE) results for crystalline La3SnI3 at its relaxed geometry.

Structure (extended XYZ):
```
28
Lattice="-6.7297 -1.2900 8.9453 9.3299 -6.1618 1.3945 2.7956 10.8589 -1.0611" Properties=species:S:1:pos:R:3 pbc="T T T"
La -1.3544 -1.6743 9.2214
La -2.5400 2.0462 4.2987
La -0.2287 4.9613 1.7268
La 0.3492 -5.8074 9.9056
La -3.0695 2.4769 8.6931
La -4.9772 -0.8454 6.7793
La 0.8895 1.4046 6.7844
La 2.5676 -2.9781 7.5752
La -1.0438 -2.1673 4.9772
La 1.2931 0.9974 2.2987
La -0.4807 5.5945 6.1972
La 3.2594 4.4599 4.4387
Sn -0.3823 -4.0484 7.4062
Sn 0.3654 3.2440 4.2907
Sn -2.0159 0.2068 6.7923
Sn -6.0308 1.4247 8.6800
I 10.3961 4.2927 2.5226
I 4.0844 2.4576 6.9732
I 6.4359 5.5804 4.3528
I 5.0734 9.2487 -0.6550
I 5.9217 -2.2011 3.0603
I 2.0912 -1.0392 4.8613
I 2.8014 6.3510 1.7317
I 4.4649 2.0102 2.4643
I 5.6429 -1.6021 7.5589
I 6.7540 5.0754 0.0061
I 8.4423 0.8900 0.5625
I 7.9772 1.3532 5.0101
```

Computed properties:
Space group ... No. 214
Total energy ... -127.81 eV/cell


Record 3
DFT (PBE) results for crystalline PmVB14 at its relaxed geometry.

Structure (extended XYZ):
```
32
Lattice="5.3355 0.0000 2.3744 1.9741 6.5806 2.7459 -0.0960 0.0990 7.3975" Properties=species:S:1:pos:R:3 pbc="T T T"
Pm 2.0761 2.5238 2.5167
Pm 5.1375 4.1558 10.0012
V 2.6198 0.0495 4.8860
V -0.0480 0.0495 3.6987
B 4.2467 2.4133 4.8211
B 2.9670 4.2662 7.6967
B 2.3956 5.3700 8.9805
B 4.8180 1.3095 3.5373
B 1.1053 1.6355 4.6982
B 6.1084 5.0441 7.8196
B 3.2844 0.1054 6.9835
B 3.9293 6.5741 5.5344
B 0.5436 0.6284 5.9605
B 6.6701 6.0512 6.5574
B 3.5491 1.6862 6.3885
B 3.6645 4.9934 6.1293
B 5.0113 3.9700 5.4096
B 3.9159 2.7096 7.8708
B 2.7116 5.1227 3.3952
B 0.8800 1.5569 7.5108
B 2.2024 2.7096 7.1083
B 3.2977 3.9700 4.6470
B 4.5020 1.5569 9.1227
B 6.3336 5.1227 5.0070
B 3.5759 6.4773 9.8980
B 0.9541 0.2023 1.4256
B 5.1007 2.4992 6.4716
B 4.7648 4.1804 7.2264
B 3.6378 0.2023 2.6199
B 6.2596 6.4773 11.0923
B 2.1129 4.1804 6.0463
B 2.4489 2.4992 5.2914
```

Computed properties:
Space group ... No. 74
Calculated formation energy ... -200 meV per atom


Record 4
DFT (PBE) results for crystalline CaDy2Tm at its relaxed geometry.

Structure (extended XYZ):
```
4
Lattice="3.5872 0.0000 0.0000 0.0000 3.5872 0.0000 0.0000 0.0000 10.3327" Properties=species:S:1:pos:R:3 pbc="T T T"
Ca 1.7936 1.7936 5.1663
Tm 1.7936 1.7936 0.0000
Dy 0.0000 0.0000 7.9661
Dy 0.0000 0.0000 2.3666
```

Computed properties:
Space group ... No. 123
Calculated formation energy ... 75 meV per atom


Record 5
DFT (PBE) results for crystalline KZn2In4 at its relaxed geometry.

Structure (extended XYZ):
```
7
Lattice="-3.5296 -2.7984 -1.4628 2.6890 -3.8731 0.9212 -4.2810 1.6936 7.0895" Properties=species:S:1:pos:R:3 pbc="T T T"
K 0.0000 0.0000 0.0000
Zn -0.8817 -3.3739 0.9154
Zn -4.2399 -1.6040 5.6324
In -2.3158 -3.4926 4.6027
In 0.2660 -2.0258 3.2335
In -2.8058 -1.4854 1.9452
In -1.8580 -0.1537 4.7772
```

Computed properties:
Space group ... No. 65
Calculated formation energy ... -44 meV per atom


Record 6
DFT (PBE) results for crystalline In2GeRu2 at its relaxed geometry.

Structure (extended XYZ):
```
10
Lattice="6.4709 0.0000 0.0000 0.0000 6.4709 0.0000 0.0000 0.0000 4.2737" Properties=species:S:1:pos:R:3 pbc="T T T"
Ru 2.2462 5.4817 0.0000
Ru 5.4817 4.2247 0.0000
Ru 4.2247 0.9892 0.0000
Ru 0.9892 2.2462 0.0000
Ge 0.0000 0.0000 0.0000
Ge 3.2355 3.2355 0.0000
In 1.0287 4.2642 2.1368
In 4.2642 5.4422 2.1368
In 5.4422 2.2067 2.1368
In 2.2067 1.0287 2.1368
```

Computed properties:
Space group ... No. 127
Calculated formation energy ... -87 meV per atom


Number 1: magnetic moment 0.0 μB per cell. Number 2: magnetic moment 0.0 μB per cell. Number 3: magnetic moment 0.7 μB per cell. Number 4: magnetic moment 0.0 μB per cell. Number 5: magnetic moment 0.0 μB per cell. Number 6: magnetic moment 0.0 μB per cell.